Na2Sb2Pb3 | the Alexandria database | PBE | relaxed; electronic total energy = -3.273 eV per atom; ΔE_f (raw) = -0.13 eV/atom; ρ = 6.7 g/cm³; space-group type = C2/m
1.0
-1.1223 3.9395 -2.2170
-2.5831 -0.3506 5.5773
8.0770 3.1952 1.5891
Na Pb Sb
2 3 2
Cartesian
5.7144 3.0563 2.5383
-1.3427 3.7278 2.4112
-0.5611 1.9698 -1.1085
2.2084 3.0128 4.2357
2.1633 3.7714 0.7138
3.6857 5.5572 3.1166
0.6860 1.2269 1.8329

***

LaMgRu | the Alexandria database | PBE | relaxed; electronic total energy = -4.470 eV per atom; ρ = 5.6 g/cm³; space-group type = F-43m
1.0
4.8177 0.0000 0.0000
2.4088 4.1722 0.0000
2.4088 1.3907 3.9336
Ru La Mg
1 1 1
Cartesian
4.8177 2.7815 1.9668
7.2265 4.1722 2.9502
0.0000 0.0000 0.0000